(1)
This record from OQMD describes a relaxed structure of Zr2Be2SiGe. The functional is PBE.

It has space group P-6m2 (No. 187), with a = 3.7620 Å, b = 3.7620 Å, c = 7.2974 Å, α = 90.00°, β = 90.00° and γ = 120.00°. The distinct sites, in fractional coordinates, are Zr at (0.0000, 0.0000, 0.2446), Be at (0.3333, 0.6667, 0.0000), Be at (0.6667, 0.3333, 0.5000), Si at (0.6667, 0.3333, 0.0000) and Ge at (0.3333, 0.6667, 0.5000).


(2)
This record from OQMD describes a relaxed structure of TbSmBe2Ge2. The functional is PBE.

It has space group P-3m1 (No. 164), with a = 3.9501 Å, b = 3.9501 Å, c = 8.2568 Å, α = 90.00°, β = 90.00° and γ = 120.00°. The distinct sites, in fractional coordinates, are Tb at (0.0000, 0.0000, 0.0000), Sm at (0.0000, 0.0000, 0.5000), Be at (0.3333, 0.6667, 0.2466) and Ge at (0.3333, 0.6667, 0.7545).


(3)
This record from OQMD describes a relaxed structure of SmYBe2Ge2. The functional is PBE.

It has space group P-3m1 (No. 164), with a = 3.9443 Å, b = 3.9443 Å, c = 8.2425 Å, α = 90.00°, β = 90.00° and γ = 120.00°. The distinct sites, in fractional coordinates, are Sm at (0.0000, 0.0000, 0.0000), Y at (0.0000, 0.0000, 0.5000), Be at (0.3333, 0.6667, 0.7474) and Ge at (0.3333, 0.6667, 0.2538).


(4)
This record from OQMD describes a relaxed structure of TaBeGe. The functional is PBE.

It has space group F-43m (No. 216), with a = 5.6158 Å, b = 5.6158 Å, c = 5.6158 Å, α = 90.00°, β = 90.00° and γ = 90.00°. The distinct sites, in fractional coordinates, are Ta at (0.0000, 0.0000, 0.0000), Be at (0.2500, 0.2500, 0.7500) and Ge at (0.0000, 0.0000, 0.5000).


(5)
This record from OQMD describes a relaxed structure of TaBeGe. The functional is PBE.

It has space group P-62m (No. 189), with a = 6.3776 Å, b = 6.3776 Å, c = 3.4611 Å, α = 90.00°, β = 90.00° and γ = 120.00°. The distinct sites, in fractional coordinates, are Ta at (0.0000, 0.6198, 0.0000), Be at (0.0000, 0.0000, 0.0000), Be at (0.3333, 0.6667, 0.5000) and Ge at (0.0000, 0.2855, 0.5000).


(6)
This record from OQMD describes a relaxed structure of TaBeGe. The functional is PBE.

It has space group F-43m (No. 216), with a = 5.9418 Å, b = 5.9418 Å, c = 5.9418 Å, α = 90.00°, β = 90.00° and γ = 90.00°. The distinct sites, in fractional coordinates, are Ta at (0.0000, 0.0000, 0.0000), Be at (0.2500, 0.2500, 0.7500) and Ge at (0.2500, 0.2500, 0.2500).


(7)
This record from OQMD describes a relaxed structure of Ta2BeGe. The functional is PBE.

It has space group F-43m (No. 216), with a = 6.3025 Å, b = 6.3025 Å, c = 6.3025 Å, α = 90.00°, β = 90.00° and γ = 90.00°. The distinct sites, in fractional coordinates, are Ta at (0.0000, 0.0000, 0.0000), Ta at (0.2500, 0.2500, 0.2500), Be at (0.2500, 0.2500, 0.7500) and Ge at (0.0000, 0.0000, 0.5000).


(8)
This record from OQMD describes a relaxed structure of TaBeTcGe. The functional is PBE.

It has space group F-43m (No. 216), with a = 6.1243 Å, b = 6.1243 Å, c = 6.1243 Å, α = 90.00°, β = 90.00° and γ = 90.00°. The distinct sites, in fractional coordinates, are Ta at (0.0000, 0.0000, 0.0000), Be at (0.0000, 0.0000, 0.5000), Tc at (0.2500, 0.2500, 0.7500) and Ge at (0.2500, 0.2500, 0.2500).


no.,calculated total energy (eV per atom)
1,-6.475
2,-5.010
3,-5.322
4,-6.320
5,-6.810
6,-6.067
7,-7.595
8,-7.540